No. 1
Entry from Alexandria: a geometry-optimized MnAl2Re structure (PBE).

## Properties
The calculation puts the calculated volume at 14.01 Å³/atom. The distance to the lowest polymorph of the same formula is 77.3 meV per atom. Its formation energy is -0.160 eV per atom. The value obtained for the final energy is -0.5465 Ry/atom.

a = 6.0753 Å, b = 6.0753 Å, c = 6.0753 Å
α = 90.00°, β = 90.00°, γ = 90.00°
Space group Fm-3m (No. 225)
Symmetry-distinct sites (fractional):
Mn (0.0000, 0.0000, 0.0000)
Al (0.2500, 0.2500, 0.2500)
Re (0.0000, 0.0000, 0.5000)


No. 2
Entry from Alexandria: a geometry-optimized MnAl2Re structure (PBE).

## Properties
The calculation puts the calculated volume at 14.22 Å³/atom. The distance to the lowest polymorph of the same formula is 80.3 meV per atom. Its formation energy is -0.157 eV per atom. The value obtained for the final energy is -0.5463 Ry/atom.

a = 5.5486 Å, b = 7.5123 Å, c = 2.7283 Å
α = 90.00°, β = 90.00°, γ = 90.00°
Space group Cmmm (No. 65)
Symmetry-distinct sites (fractional):
Mn (0.0000, 0.0000, 0.0000)
Al (0.2500, 0.2500, 0.5000)
Re (0.0000, 0.5000, 0.0000)


No. 3
Entry from Alexandria: a geometry-optimized Mn2Al2Re structure (PBE).

## Properties
The calculation puts the calculated volume at 14.08 Å³/atom. The distance to the lowest polymorph of the same formula is 150.6 meV per atom. Its formation energy is 0.088 eV per atom. The value obtained for the final energy is -0.5562 Ry/atom.

a = 5.9936 Å, b = 5.9936 Å, c = 3.9187 Å
α = 90.00°, β = 90.00°, γ = 90.00°
Space group P4/mbm (No. 127)
Symmetry-distinct sites (fractional):
Mn (0.1252, 0.3748, 0.0000)
Al (0.1763, 0.6763, 0.5000)
Re (0.0000, 0.0000, 0.0000)


No. 4
Entry from Alexandria: a geometry-optimized MnAl2Re structure (PBE).

## Properties
The calculation puts the calculated volume at 14.15 Å³/atom. The distance to the lowest polymorph of the same formula is 145.0 meV per atom. Its formation energy is -0.092 eV per atom. The value obtained for the final energy is -0.5415 Ry/atom.

a = 2.7696 Å, b = 2.7696 Å, c = 25.5680 Å
α = 90.00°, β = 90.00°, γ = 120.00°
Space group R3m (No. 160, hexagonal axes)
Symmetry-distinct sites (fractional):
Mn (0.0000, 0.0000, 0.0000)
Al (0.0000, 0.0000, 0.2542)
Al (0.0000, 0.0000, 0.4963)
Re (0.0000, 0.0000, 0.7430)


No. 5
Entry from Alexandria: a geometry-optimized Mn2Al2Re structure (PBE).

## Properties
The calculation puts the calculated volume at 14.04 Å³/atom. The distance to the lowest polymorph of the same formula is 0.0 meV per atom. Its formation energy is -0.063 eV per atom. The value obtained for the final energy is -0.5672 Ry/atom.

a = 2.8355 Å, b = 16.8988 Å, c = 2.9294 Å
α = 90.00°, β = 90.00°, γ = 90.00°
Space group Cmmm (No. 65)
Symmetry-distinct sites (fractional):
Mn (0.0000, 0.0885, 0.0000)
Al (0.0000, 0.3230, 0.5000)
Re (0.0000, 0.5000, 0.5000)


No. 6
Entry from Alexandria: a geometry-optimized Mn2Al2Re structure (PBE).

## Properties
The calculation puts the calculated volume at 13.43 Å³/atom. The distance to the lowest polymorph of the same formula is 76.3 meV per atom. Its formation energy is 0.013 eV per atom. The value obtained for the final energy is -0.5616 Ry/atom.

a = 6.9095 Å, b = 6.9095 Å, c = 2.8134 Å
α = 90.00°, β = 90.00°, γ = 90.00°
Space group P4/mbm (No. 127)
Symmetry-distinct sites (fractional):
Mn (0.1659, 0.3341, 0.0000)
Al (0.1328, 0.6328, 0.5000)
Re (0.0000, 0.0000, 0.5000)


No. 7
Entry from Alexandria: a geometry-optimized MnAl2Re structure (PBE).

## Properties
The calculation puts the calculated volume at 14.02 Å³/atom. The distance to the lowest polymorph of the same formula is 71.0 meV per atom. Its formation energy is -0.166 eV per atom. The value obtained for the final energy is -0.5470 Ry/atom.

a = 4.1080 Å, b = 4.1080 Å, c = 3.3232 Å
α = 90.00°, β = 90.00°, γ = 90.00°
Space group P4/mmm (No. 123)
Symmetry-distinct sites (fractional):
Mn (0.0000, 0.0000, 0.0000)
Al (0.0000, 0.5000, 0.5000)
Re (0.5000, 0.5000, 0.0000)


No. 8
Entry from Alexandria: a geometry-optimized MnAl4Re structure (PBE).

## Properties
The calculation puts the calculated volume at 14.79 Å³/atom. Its formation energy is 0.131 eV per atom. The value obtained for the final energy is -0.4386 Ry/atom.

a = 7.0806 Å, b = 7.0806 Å, c = 7.0806 Å
α = 90.00°, β = 90.00°, γ = 90.00°
Space group F-43m (No. 216)
Symmetry-distinct sites (fractional):
Mn (0.0000, 0.0000, 0.0000)
Al (0.1253, 0.1253, 0.3747)
Re (0.2500, 0.2500, 0.7500)


No. 9
Entry from Alexandria: a geometry-optimized MnAl2Re structure (PBE).

## Properties
The calculation puts the calculated volume at 14.09 Å³/atom. The distance to the lowest polymorph of the same formula is 99.0 meV per atom. Its formation energy is -0.138 eV per atom. The value obtained for the final energy is -0.5449 Ry/atom.

a = 2.7266 Å, b = 4.4236 Å, c = 4.6734 Å
α = 90.00°, β = 90.00°, γ = 90.00°
Space group Pmm2 (No. 25)
Symmetry-distinct sites (fractional):
Mn (0.0000, 0.0000, 0.0000)
Al (0.5000, 0.0000, 0.5006)
Al (0.5000, 0.5000, 0.1583)
Re (0.0000, 0.5000, 0.6686)


No. 10
Entry from Alexandria: a geometry-optimized MnAl2Re structure (PBE).

## Properties
The calculation puts the calculated volume at 14.01 Å³/atom. The distance to the lowest polymorph of the same formula is 160.5 meV per atom. Its formation energy is -0.077 eV per atom. The value obtained for the final energy is -0.5404 Ry/atom.

a = 3.2994 Å, b = 4.2512 Å, c = 7.9886 Å
α = 90.00°, β = 90.00°, γ = 90.00°
Space group Cmmm (No. 65)
Symmetry-distinct sites (fractional):
Mn (0.0000, 0.0000, 0.0000)
Al (0.0000, 0.5000, 0.2361)
Re (0.0000, 0.0000, 0.5000)


No. 11
Entry from Alexandria: a geometry-optimized MnAl2Re structure (PBE).

## Properties
The calculation puts the calculated volume at 14.03 Å³/atom. The distance to the lowest polymorph of the same formula is 139.0 meV per atom. Its formation energy is -0.098 eV per atom. The value obtained for the final energy is -0.5420 Ry/atom.

a = 5.3863 Å, b = 8.2944 Å, c = 2.6705 Å
α = 90.00°, β = 109.87°, γ = 90.00°
Space group C2/m (No. 12)
Symmetry-distinct sites (fractional):
Mn (0.0000, 0.0000, 0.0000)
Al (0.2500, 0.2500, 0.5000)
Re (0.0000, 0.5000, 0.0000)


No. 12
Entry from Alexandria: a geometry-optimized Mn2AlRe2 structure (PBE).

## Properties
The calculation puts the calculated volume at 13.84 Å³/atom. Its formation energy is 0.139 eV per atom. The value obtained for the final energy is -0.6804 Ry/atom.

a = 7.0911 Å, b = 7.0911 Å, c = 2.7522 Å
α = 90.00°, β = 90.00°, γ = 90.00°
Space group P4/mbm (No. 127)
Symmetry-distinct sites (fractional):
Mn (0.1282, 0.3718, 0.0000)
Al (0.0000, 0.0000, 0.0000)
Re (0.1630, 0.6630, 0.5000)


No. 13
Entry from Alexandria: a geometry-optimized MnAl2Re structure (PBE).

## Properties
The calculation puts the calculated volume at 14.20 Å³/atom. The distance to the lowest polymorph of the same formula is 93.4 meV per atom. Its formation energy is -0.144 eV per atom. The value obtained for the final energy is -0.5453 Ry/atom.

a = 3.4370 Å, b = 4.1987 Å, c = 7.8716 Å
α = 90.00°, β = 90.00°, γ = 90.00°
Space group Immm (No. 71)
Symmetry-distinct sites (fractional):
Mn (0.0000, 0.0000, 0.0000)
Al (0.0000, 0.5000, 0.2547)
Re (0.0000, 0.0000, 0.5000)


No. 14
Entry from Alexandria: a geometry-optimized MnAl2Re structure (PBE).

## Properties
The calculation puts the calculated volume at 13.69 Å³/atom. The distance to the lowest polymorph of the same formula is 146.2 meV per atom. Its formation energy is -0.091 eV per atom. The value obtained for the final energy is -0.5414 Ry/atom.

a = 6.0277 Å, b = 6.0277 Å, c = 6.0277 Å
α = 90.00°, β = 90.00°, γ = 90.00°
Space group F-43m (No. 216)
Symmetry-distinct sites (fractional):
Mn (0.0000, 0.0000, 0.0000)
Al (0.0000, 0.0000, 0.5000)
Al (0.2500, 0.2500, 0.2500)
Re (0.2500, 0.2500, 0.7500)


No. 15
Entry from Alexandria: a geometry-optimized MnAlRe4 structure (PBE).

## Properties
The calculation puts the calculated volume at 16.22 Å³/atom. Its formation energy is 0.366 eV per atom. The value obtained for the final energy is -0.7412 Ry/atom.

a = 7.3021 Å, b = 7.3021 Å, c = 7.3021 Å
α = 90.00°, β = 90.00°, γ = 90.00°
Space group F-43m (No. 216)
Symmetry-distinct sites (fractional):
Mn (0.0000, 0.0000, 0.0000)
Al (0.2500, 0.2500, 0.2500)
Re (0.1252, 0.1252, 0.6252)


No. 16
Entry from Alexandria: a geometry-optimized MnAl2Re structure (PBE).

## Properties
The calculation puts the calculated volume at 14.26 Å³/atom. The distance to the lowest polymorph of the same formula is 181.8 meV per atom. Its formation energy is -0.055 eV per atom. The value obtained for the final energy is -0.5388 Ry/atom.

a = 2.7733 Å, b = 2.7733 Å, c = 25.6941 Å
α = 90.00°, β = 90.00°, γ = 120.00°
Space group R-3m (No. 166, hexagonal axes)
Symmetry-distinct sites (fractional):
Mn (0.0000, 0.0000, 0.0000)
Al (0.0000, 0.0000, 0.2531)
Re (0.0000, 0.0000, 0.5000)


No. 17
Entry from Alexandria: a geometry-optimized MnAl2Re structure (PBE).

## Properties
The calculation puts the calculated volume at 13.40 Å³/atom. The distance to the lowest polymorph of the same formula is 0.0 meV per atom. Its formation energy is -0.237 eV per atom. The value obtained for the final energy is -0.5522 Ry/atom.

a = 3.0014 Å, b = 3.0014 Å, c = 5.9516 Å
α = 90.00°, β = 90.00°, γ = 90.00°
Space group P4mm (No. 99)
Symmetry-distinct sites (fractional):
Mn (0.0000, 0.0000, 0.0000)
Al (0.0000, 0.0000, 0.5072)
Al (0.5000, 0.5000, 0.7845)
Re (0.5000, 0.5000, 0.2547)


No. 18
Entry from Alexandria: a geometry-optimized MnAl2Re structure (PBE).

## Properties
The calculation puts the calculated volume at 13.89 Å³/atom. The distance to the lowest polymorph of the same formula is 76.4 meV per atom. Its formation energy is -0.161 eV per atom. The value obtained for the final energy is -0.5466 Ry/atom.

a = 3.1663 Å, b = 4.1461 Å, c = 8.4671 Å
α = 90.00°, β = 90.00°, γ = 90.00°
Space group Imm2 (No. 44)
Symmetry-distinct sites (fractional):
Mn (0.0000, 0.0000, 0.0000)
Al (0.0000, 0.0000, 0.4882)
Al (0.0000, 0.5000, 0.2558)
Re (0.0000, 0.5000, 0.7338)


No. 19
Entry from Alexandria: a geometry-optimized MnAl2Re structure (PBE).

## Properties
The calculation puts the calculated volume at 14.12 Å³/atom. The distance to the lowest polymorph of the same formula is 98.9 meV per atom. Its formation energy is -0.138 eV per atom. The value obtained for the final energy is -0.5449 Ry/atom.

a = 3.3876 Å, b = 3.9706 Å, c = 4.1993 Å
α = 90.00°, β = 90.00°, γ = 90.00°
Space group Pmmm (No. 47)
Symmetry-distinct sites (fractional):
Mn (0.0000, 0.0000, 0.0000)
Al (0.0000, 0.5000, 0.5000)
Al (0.5000, 0.5000, 0.0000)
Re (0.5000, 0.0000, 0.5000)


No. 20
Entry from Alexandria: a geometry-optimized Mn8AlRe3 structure (PBE).

## Properties
The calculation puts the calculated volume at 12.04 Å³/atom. Its formation energy is -0.097 eV per atom. The value obtained for the final energy is -0.7081 Ry/atom.

a = 4.6746 Å, b = 4.6746 Å, c = 7.6348 Å
α = 90.00°, β = 90.00°, γ = 120.00°
Space group P3m1 (No. 156)
Symmetry-distinct sites (fractional):
Mn (0.0000, 0.0000, 0.0000)
Mn (0.0000, 0.0000, 0.4977)
Mn (0.1721, 0.3441, 0.7411)
Mn (0.3478, 0.1739, 0.2420)
Al (0.6667, 0.3333, 0.5534)
Re (0.3333, 0.6667, 0.0595)
Re (0.3333, 0.6667, 0.4242)
Re (0.6667, 0.3333, 0.9252)


No. 21
Entry from Alexandria: a geometry-optimized MnAl2Re structure (PBE).

## Properties
The calculation puts the calculated volume at 13.97 Å³/atom. The distance to the lowest polymorph of the same formula is 123.5 meV per atom. Its formation energy is -0.113 eV per atom. The value obtained for the final energy is -0.5431 Ry/atom.

a = 2.6695 Å, b = 4.1485 Å, c = 5.1030 Å
α = 90.00°, β = 98.57°, γ = 90.00°
Space group P2/m (No. 10)
Symmetry-distinct sites (fractional):
Mn (0.0000, 0.0000, 0.0000)
Al (0.2179, 0.5000, 0.7551)
Re (0.5000, 0.0000, 0.5000)


No. 22
Entry from Alexandria: a geometry-optimized MnAl2Re structure (PBE).

## Properties
The calculation puts the calculated volume at 14.25 Å³/atom. The distance to the lowest polymorph of the same formula is 90.9 meV per atom. Its formation energy is -0.146 eV per atom. The value obtained for the final energy is -0.5455 Ry/atom.

a = 2.6900 Å, b = 3.8678 Å, c = 5.4787 Å
α = 90.00°, β = 90.00°, γ = 90.00°
Space group Pmmm (No. 47)
Symmetry-distinct sites (fractional):
Mn (0.0000, 0.0000, 0.0000)
Al (0.5000, 0.5000, 0.2500)
Re (0.0000, 0.0000, 0.5000)


No. 23
Entry from Alexandria: a geometry-optimized MnAl2ReRu structure (PBE).

## Properties
The calculation puts the calculated volume at 18.10 Å³/atom. Its formation energy is 1.154 eV per atom. The value obtained for the final energy is -0.4794 Ry/atom.

a = 4.4907 Å, b = 4.4907 Å, c = 4.4883 Å
α = 90.00°, β = 90.00°, γ = 90.00°
Space group P4/mmm (No. 123)
Symmetry-distinct sites (fractional):
Mn (0.0000, 0.0000, 0.0000)
Al (0.0000, 0.5000, 0.5000)
Re (0.5000, 0.5000, 0.0000)
Ru (0.0000, 0.0000, 0.5000)


No. 24
Entry from Alexandria: a geometry-optimized TiMnAlRe structure (PBE).

## Properties
The calculation puts the calculated volume at 14.46 Å³/atom. Its formation energy is -0.271 eV per atom. The value obtained for the final energy is -0.6309 Ry/atom.

a = 6.1394 Å, b = 6.1394 Å, c = 6.1394 Å
α = 90.00°, β = 90.00°, γ = 90.00°
Space group F-43m (No. 216)
Symmetry-distinct sites (fractional):
Ti (0.0000, 0.0000, 0.0000)
Mn (0.2500, 0.2500, 0.7500)
Al (0.0000, 0.0000, 0.5000)
Re (0.2500, 0.2500, 0.2500)


No. 25
Entry from Alexandria: a geometry-optimized Ti5Mn2Al2Re structure (PBE).

## Properties
The calculation puts the calculated volume at 15.68 Å³/atom. Its formation energy is -0.105 eV per atom. The value obtained for the final energy is -0.5791 Ry/atom.

a = 9.9408 Å, b = 9.9408 Å, c = 3.1737 Å
α = 90.00°, β = 90.00°, γ = 90.00°
Space group P4/mbm (No. 127)
Symmetry-distinct sites (fractional):
Ti (0.0000, 0.5000, 0.0000)
Ti (0.0719, 0.1995, 0.0000)
Mn (0.1258, 0.3742, 0.5000)
Al (0.1731, 0.6731, 0.5000)
Re (0.0000, 0.0000, 0.5000)


No. 26
Entry from Alexandria: a geometry-optimized Ti5MnAl2Re2 structure (PBE).

## Properties
The calculation puts the calculated volume at 16.65 Å³/atom. Its formation energy is 0.010 eV per atom. The value obtained for the final energy is -0.5948 Ry/atom.

a = 10.2511 Å, b = 10.2511 Å, c = 3.1683 Å
α = 90.00°, β = 90.00°, γ = 90.00°
Space group P4/mbm (No. 127)
Symmetry-distinct sites (fractional):
Ti (0.0000, 0.5000, 0.0000)
Ti (0.0742, 0.1825, 0.0000)
Mn (0.0000, 0.0000, 0.5000)
Al (0.1693, 0.6693, 0.5000)
Re (0.1369, 0.3631, 0.5000)


No. 27
Entry from Alexandria: a geometry-optimized UMnAlRe structure (PBE).

## Properties
The calculation puts the calculated volume at 16.25 Å³/atom. Its formation energy is 0.036 eV per atom. The value obtained for the final energy is -0.6708 Ry/atom.

a = 6.3831 Å, b = 6.3831 Å, c = 6.3831 Å
α = 90.00°, β = 90.00°, γ = 90.00°
Space group F-43m (No. 216)
Symmetry-distinct sites (fractional):
U (0.0000, 0.0000, 0.0000)
Mn (0.2500, 0.2500, 0.2500)
Al (0.0000, 0.0000, 0.5000)
Re (0.2500, 0.2500, 0.7500)